Entry 1:
MgP2O10 | PBE-GGA | relaxed

Calculated values
density = 2.35 g cm⁻³
space group = P2_1/c
E_tot = -6.103 eV/atom

Cell lengths 9.320, 5.771, 8.370 Å; angles 50.63, 90.00, 90.00 degrees
Element x y z (fractional)
O: 0.877 0.057 0.333
O: 0.623 0.057 0.833
O: 0.573 0.256 0.041
O: 0.120 0.374 0.830
O: 0.427 0.744 0.959
O: 0.073 0.744 0.459
O: 0.466 0.047 0.791
O: 0.534 0.953 0.209
O: 0.177 0.749 0.102
O: 0.377 0.943 0.167
O: 0.677 0.251 0.398
O: 0.620 0.626 0.670
O: 0.034 0.047 0.291
O: 0.380 0.374 0.330
O: 0.880 0.626 0.170
O: 0.123 0.943 0.667
O: 0.823 0.251 0.898
O: 0.323 0.749 0.602
O: 0.927 0.256 0.541
O: 0.966 0.953 0.709
P: 0.667 0.318 0.847
P: 0.167 0.682 0.653
P: 0.333 0.682 0.153
P: 0.833 0.318 0.347
Mg: 0.500 0.000 0.500
Mg: 0.000 0.000 0.000

Entry 2:
Sr3CaCd | PBE-GGA | relaxed

Calculated values
density = 2.24 g cm⁻³
space group = Pm-3m
E_tot = -0.930 eV/atom

Cell lengths 6.755, 6.755, 6.755 Å; angles 90.00, 90.00, 90.00 degrees
Element x y z (fractional)
Sr: 0.000 0.000 0.500
Sr: 0.000 0.500 0.000
Sr: 0.500 0.000 0.000
Ca: 0.000 0.000 0.000
Cd: 0.500 0.500 0.500

Entry 3:
NaSnOsO6 | PBE-GGA | relaxed

Calculated values
density = 5.52 g cm⁻³
space group = P-31c
E_tot = -6.382 eV/atom

Cell lengths 5.398, 5.398, 10.201 Å; angles 90.00, 90.00, 120.00 degrees
Element x y z (fractional)
O: 0.368 0.973 0.644
O: 0.632 0.027 0.356
O: 0.605 0.973 0.856
O: 0.632 0.605 0.144
O: 0.605 0.632 0.644
O: 0.027 0.632 0.856
O: 0.395 0.027 0.144
O: 0.973 0.605 0.356
O: 0.395 0.368 0.356
O: 0.973 0.368 0.144
O: 0.027 0.395 0.644
O: 0.368 0.395 0.856
Na: 0.000 0.000 0.500
Na: 0.000 0.000 0.000
Os: 0.667 0.333 0.250
Os: 0.333 0.667 0.750
Sn: 0.667 0.333 0.750
Sn: 0.333 0.667 0.250

Entry 4:
YMn3Ge2 | PBE-GGA | relaxed

Calculated values
density = 6.94 g cm⁻³
space group = C2/m
E_tot = -7.553 eV/atom

Cell lengths 3.928, 7.600, 7.333 Å; angles 114.48, 90.00, 104.98 degrees
Element x y z (fractional)
Mn: 0.046 0.091 0.398
Mn: 0.582 0.165 0.627
Mn: 0.954 0.909 0.602
Mn: 0.307 0.614 0.526
Mn: 0.693 0.386 0.474
Mn: 0.418 0.835 0.373
Ge: 0.200 0.400 0.712
Ge: 0.521 0.043 0.187
Ge: 0.479 0.957 0.813
Ge: 0.800 0.600 0.288
Y: 0.144 0.288 0.061
Y: 0.856 0.712 0.939

What is the E_tot in the third record?
-6.382 eV/atom